The following is a DFT calculation (GGA-PBE) of an optimized crystal structure of CePuInSn.

Summary:
**Final energy**: -28.2 eV/cell
**Space group**: F-43m
**Total magnetic moment**: 1.750 μB/atom
**Energy relative to the elements**: -1.19 eV per formula unit

```
CePuInSn
1.0
5.4078 0.0000 0.0000
2.7039 4.6833 0.0000
2.7039 1.5611 4.4154
Pu In Sn Ce
1 1 1 1
Direct
0.5000 0.5000 0.5000
0.7500 0.7500 0.7500
0.2500 0.2500 0.2500
0.0000 0.0000 0.0000
```

---

The following is a DFT calculation (GGA-PBE) of an optimized crystal structure of TbCePuIn.

Summary:
**Final energy**: -27.8 eV/cell
**Space group**: F-43m
**Total magnetic moment**: 2.141 μB/atom
**Energy relative to the elements**: -0.20 eV per formula unit

```
TbCePuIn
1.0
-4.4592 0.6930 2.8776
-2.2960 -4.1817 2.4263
0.1641 -0.4209 5.3330
Tb Pu In Ce
1 1 1 1
Direct
0.0000 0.0000 0.0000
0.5000 0.5000 0.5000
0.2500 0.2500 0.2500
0.7500 0.7500 0.7500
```

---

The following is a DFT calculation (GGA-PBE) of an optimized crystal structure of CePuInTc.

Summary:
**Final energy**: -33.9 eV/cell
**Space group**: P4mm
**Total magnetic moment**: 1.285 μB/atom
**Energy relative to the elements**: -0.49 eV per formula unit
**Excess energy over the best structure of this formula in the dataset**: 0.0 meV/atom

```
CePuInTc
1.0
-2.8592 0.2312 -1.5546
1.0837 -2.0475 -2.2975
-3.0608 -6.8019 4.6178
Ce Pu Tc In
1 1 1 1
Direct
0.5000 0.5000 0.7770
0.5000 0.5000 0.3649
0.0000 0.0000 0.5667
0.0000 0.0000 0.0761
```

---

Please write out number 3 again, unchanged.
The following is a DFT calculation (GGA-PBE) of an optimized crystal structure of CePuInTc.

Summary:
**Final energy**: -33.9 eV/cell
**Space group**: P4mm
**Total magnetic moment**: 1.285 μB/atom
**Energy relative to the elements**: -0.49 eV per formula unit
**Excess energy over the best structure of this formula in the dataset**: 0.0 meV/atom

```
CePuInTc
1.0
-2.8592 0.2312 -1.5546
1.0837 -2.0475 -2.2975
-3.0608 -6.8019 4.6178
Ce Pu Tc In
1 1 1 1
Direct
0.5000 0.5000 0.7770
0.5000 0.5000 0.3649
0.0000 0.0000 0.5667
0.0000 0.0000 0.0761
```

---

Which value of energy relative to the elements does entry 1 give? -1.19 eV per formula unit